No. 1
This record from the Alexandria database describes a relaxed HfScAgCl2 crystal. The functional is PBE.

The structure in POSCAR format:
```
HfScAgCl2
1.0
-2.531 3.593 1.869
-3.362 -3.772 2.699
2.924 0.095 3.775
Sc Hf Ag Cl
1 1 1 2
Direct
0.500 0.500 0.500
0.000 0.000 0.000
0.000 0.500 0.000
0.000 0.000 0.500
0.500 0.000 0.000
```

Values from the calculation:
DFT total energy (eV for the cell shown): -23.61
Symmetry: P4/mmm
Uncorrected formation energy (eV/f.u.): -0.78
DOS(E_F) (states/eV/atom): 1.32



No. 2
This record from the Alexandria database describes a relaxed KMnCl2 crystal. The functional is PBE.

The structure in POSCAR format:
```
KMnCl2
1.0
3.835 0.020 0.000
-0.014 3.835 0.000
0.000 0.000 7.354
K Mn Cl
1 1 2
Direct
0.000 0.000 0.449
0.500 0.500 0.922
0.000 0.000 0.875
0.500 0.500 0.254
```

Values from the calculation:
Energy above the lowest structure with this stoichiometry (meV/atom): 139
DFT total energy (eV for the cell shown): -17.35
Symmetry: Cmm2
Uncorrected formation energy (eV/f.u.): -3.39
DOS(E_F) (states/eV/atom): 0.65



No. 3
This record from the Alexandria database describes a relaxed TlSb3Au crystal. The functional is PBE.

The structure in POSCAR format:
```
TlSb3Au
1.0
-4.955 4.266 1.259
-1.926 -3.396 5.394
4.049 3.606 3.716
Tl Sb Au
2 6 2
Direct
0.423 0.577 0.750
0.577 0.423 0.250
0.972 0.594 0.750
0.406 0.028 0.750
0.594 0.972 0.250
0.028 0.406 0.250
0.000 0.000 0.000
0.000 0.000 0.500
0.735 0.265 0.750
0.265 0.735 0.250
```

Values from the calculation:
Energy above the lowest structure with this stoichiometry (meV/atom): 120
DFT total energy (eV for the cell shown): -34.52
Symmetry: Cmcm
Uncorrected formation energy (eV/f.u.): 0.75
DOS(E_F) (states/eV/atom): 0.47



No. 4
This record from the Alexandria database describes a relaxed Sb8Cl2O11 crystal. The functional is PBE.

The structure in POSCAR format:
```
Sb8Cl2O11
1.0
-1.715 0.022 -3.884
-8.260 -2.675 2.036
-4.956 11.311 2.321
Sb Cl O
8 2 11
Direct
0.583 0.535 0.857
0.417 0.465 0.143
0.169 0.066 0.695
0.831 0.934 0.305
0.825 0.864 0.929
0.175 0.136 0.071
0.106 0.477 0.661
0.894 0.523 0.339
0.772 0.185 0.544
0.228 0.815 0.456
0.604 0.512 0.701
0.396 0.488 0.299
0.091 0.560 0.806
0.909 0.440 0.194
0.827 0.017 0.798
0.173 0.983 0.202
0.504 0.762 0.858
0.496 0.238 0.142
0.500 0.000 0.000
0.178 0.266 0.743
0.822 0.734 0.257
```

Values from the calculation:
Energy above the lowest structure with this stoichiometry (meV/atom): 55
DFT total energy (eV for the cell shown): -117.34
Symmetry: P-1
Uncorrected formation energy (eV/f.u.): -26.12
DOS(E_F) (states/eV/atom): 0.00



No. 5
This record from the Alexandria database describes a relaxed Sc2TcO crystal. The functional is PBE.

The structure in POSCAR format:
```
Sc2TcO
1.0
6.173 -4.824 0.231
5.796 -4.494 -2.765
7.359 -2.418 -1.193
Sc Tc O
2 1 1
Direct
0.891 0.891 0.891
0.109 0.109 0.109
0.000 0.000 0.000
0.500 0.500 0.500
```

Values from the calculation:
DFT total energy (eV for the cell shown): -32.33
Symmetry: R-3m
Uncorrected formation energy (eV/f.u.): -4.34
DOS(E_F) (states/eV/atom): 0.96



No. 6
This record from the Alexandria database describes a relaxed SrOsRu2 crystal. The functional is PBE.

The structure in POSCAR format:
```
SrOsRu2
1.0
-0.331 2.560 -6.133
-3.762 -2.649 2.076
-1.692 2.200 -0.254
Os Ru Sr
1 2 1
Direct
0.500 0.500 0.000
0.000 0.000 0.000
0.500 0.000 0.500
0.000 0.500 0.500
```

Values from the calculation:
Energy above the lowest structure with this stoichiometry (meV/atom): 360
DFT total energy (eV for the cell shown): -27.86
ΔE_f (eV per atom): 0.901
Symmetry: Cmmm
DOS(E_F) (states/eV/atom): 1.50



No. 7
This record from the Alexandria database describes a relaxed NaSiPd crystal. The functional is PBE.

The structure in POSCAR format:
```
NaSiPd
1.0
-1.263 -1.905 2.218
2.916 -0.643 1.108
-1.195 5.511 1.767
Na Si Pd
1 1 1
Direct
0.001 0.001 0.003
0.702 0.702 0.405
0.296 0.296 0.593
```

Values from the calculation:
DFT total energy (eV for the cell shown): -12.75
Symmetry: I4mm
Uncorrected formation energy (eV/f.u.): -0.82
DOS(E_F) (states/eV/atom): 0.26



No. 8
This record from the Alexandria database describes a relaxed TePb2I2 crystal. The functional is PBE.

The structure in POSCAR format:
```
TePb2I2
1.0
-3.701 -2.643 -0.886
-1.757 -2.714 3.317
-9.006 7.197 4.037
Te Pb I
1 2 2
Direct
0.000 0.500 0.500
0.725 0.210 0.340
0.275 0.790 0.660
0.449 0.919 0.183
0.551 0.081 0.817
```

Values from the calculation:
Energy above the lowest structure with this stoichiometry (meV/atom): 1
DFT total energy (eV for the cell shown): -16.38
Symmetry: C2/m
Uncorrected formation energy (eV/f.u.): -2.72
DOS(E_F) (states/eV/atom): 0.00



No. 9
This record from the Alexandria database describes a relaxed NbCu3Pt crystal. The functional is PBE.

The structure in POSCAR format:
```
NbCu3Pt
1.0
4.640 0.000 0.000
0.000 4.640 0.000
0.000 0.000 4.640
Nb Cu Pt
1 3 1
Direct
0.000 0.000 0.000
0.000 0.500 0.000
0.000 0.000 0.500
0.500 0.000 0.000
0.500 0.500 0.500
```

Values from the calculation:
Energy above the lowest structure with this stoichiometry (meV/atom): 587
DFT total energy (eV for the cell shown): -19.96
ΔE_f (eV per atom): 1.688
Symmetry: Pm-3m
DOS(E_F) (states/eV/atom): 1.34



No. 10
This record from the Alexandria database describes a relaxed Na2CaEr crystal. The functional is PBE.

The structure in POSCAR format:
```
Na2CaEr
1.0
-0.767 3.323 -0.961
-2.929 0.669 -1.879
-8.169 3.032 10.470
Na Ca Er
2 1 1
Direct
0.085 0.085 0.745
0.915 0.915 0.255
0.500 0.500 0.500
0.000 0.000 0.000
```

Values from the calculation:
DFT total energy (eV for the cell shown): -8.02
ΔE_f (eV per atom): 0.295
Symmetry: R-3m
DOS(E_F) (states/eV/atom): 1.09



No. 11
This record from the Alexandria database describes a relaxed PrSmAl crystal. The functional is PBE.

The structure in POSCAR format:
```
PrSmAl
1.0
3.719 0.000 0.000
0.000 5.165 0.000
0.000 -2.582 4.473
Pr Al Sm
1 1 1
Direct
0.966 0.000 0.000
0.650 0.667 0.333
0.384 0.333 0.667
```

Values from the calculation:
Energy above the lowest structure with this stoichiometry (meV/atom): 77
DFT total energy (eV for the cell shown): -13.64
ΔE_f (eV per atom): -0.134
Symmetry: P3m1
DOS(E_F) (states/eV/atom): 0.69



No. 12
This record from the Alexandria database describes a relaxed AcMgH6Pd2 crystal. The functional is PBE.

The structure in POSCAR format:
```
AcMgH6Pd2
1.0
-3.333 -2.159 -2.590
-3.820 -1.847 2.116
-5.079 3.547 -0.760
Ac Mg H Pd
1 1 6 2
Direct
0.000 0.000 0.000
0.500 0.500 0.500
0.082 0.564 0.791
0.564 0.082 0.791
0.436 0.436 0.209
0.918 0.436 0.209
0.436 0.918 0.209
0.564 0.564 0.791
0.791 0.791 0.627
0.209 0.209 0.373
```

Values from the calculation:
DFT total energy (eV for the cell shown): -39.88
Symmetry: R-3m
DOS(E_F) (states/eV/atom): 0.23